A relaxed TcHg2As crystal. Source: Alexandria, functional PBEsol.

The formation enthalpy at 0 K comes out at 2.23 eV per formula unit. Its size of the total moment is 0.6 μB per formula unit.

The structure belongs to space group I4/mmm (No. 139); the cell edges are 3.8787, 3.8787 and 9.5219 Å and the angles 90.00°, 90.00° and 90.00°. The distinct sites, in fractional coordinates, are Tc at (0.0000, 0.0000, 0.0000), Hg at (0.0000, 0.5000, 0.2500) and As at (0.0000, 0.0000, 0.5000).